Density functional theory data (PBEsol) for Tm6Ti4Al43 after structural relaxation.

Structure (extended XYZ):
```
106
Lattice="-1.852 -9.008 5.938 0.226 -0.598 -10.928 17.334 -3.211 0.534" Properties=species:S:1:pos:R:3 pbc="T T T"
Tm 15.775 -3.184 -4.664
Tm 1.785 -0.625 -5.730
Tm 14.796 -7.145 3.279
Tm 7.121 -1.613 -5.565
Tm 9.460 -6.157 3.115
Tm 0.686 -5.074 3.192
Tm 10.438 -2.196 -4.829
Tm 6.022 -6.062 3.357
Tm 14.808 -7.984 -2.157
Tm 0.900 -4.833 -2.299
Tm 6.236 -5.822 -2.135
Tm 9.472 -6.996 -2.322
Ti 0.000 0.000 0.000
Ti 8.667 -1.605 0.267
Ti 13.062 -2.571 -2.579
Ti 4.498 -1.238 -7.815
Ti 12.495 -4.865 2.020
Ti 2.987 -7.355 4.452
Ti 11.818 -9.395 -3.229
Ti 3.890 -3.422 -1.227
Al 12.444 -6.558 -6.498
Al 3.264 -6.259 2.041
Al 12.308 -6.788 -3.459
Al 11.516 -10.315 1.036
Al 3.400 -6.029 -0.998
Al 4.192 -2.503 -5.492
Al 12.849 -4.083 -4.761
Al 11.998 -8.043 -0.943
Al 2.859 -8.735 0.304
Al 3.710 -4.775 -3.514
Al 12.009 -7.482 2.056
Al 3.699 -5.335 -6.513
Al 6.841 -1.737 -9.016
Al 10.719 -2.072 -1.378
Al 5.087 -8.833 5.215
Al 15.352 -2.931 -1.235
Al 0.454 -7.975 5.072
Al 10.394 -3.386 1.257
Al 2.207 -0.878 -9.159
Al 15.027 -4.244 1.399
Al 6.396 -2.732 -0.575
Al 9.312 -10.085 -3.882
Al 13.945 -10.943 -3.739
Al 1.763 -1.874 -0.717
Al -0.766 -5.002 -5.225
Al -0.860 -4.604 0.234
Al -0.346 -2.524 -3.937
Al 7.807 -6.210 0.501
Al 7.387 -8.688 -0.786
Al -1.279 -7.083 -1.053
Al 7.901 -6.608 -4.958
Al 8.321 -4.130 -3.670
Al -0.288 -2.678 -6.757
Al -1.338 -6.928 1.766
Al 7.329 -8.534 2.033
Al 8.379 -4.284 -6.490
Al 13.193 -2.918 -8.917
Al 4.367 -0.891 -1.478
Al 11.421 -10.088 5.463
Al 4.060 -2.131 1.009
Al 12.760 -3.824 -0.335
Al 2.947 -8.993 -4.121
Al 14.694 -6.210 -4.839
Al 1.014 -6.607 0.383
Al 5.335 -7.408 0.516
Al 9.680 -8.213 0.650
Al 10.373 -5.409 -4.972
Al 6.027 -4.605 -5.106
Al 1.706 -3.804 -5.239
Al 14.002 -9.013 0.783
Al 17.006 -3.565 -7.635
Al 0.554 -0.244 -2.759
Al 15.455 -9.841 4.949
Al 8.228 -1.665 -2.522
Al 7.781 -8.419 4.713
Al 0.026 -2.379 1.523
Al 9.332 -2.144 -7.872
Al 7.700 -3.800 1.759
Al 16.424 -5.557 -0.748
Al -0.717 -7.260 -3.708
Al 6.957 -8.681 -3.472
Al 8.750 -4.136 -0.984
Al 13.578 -8.651 -5.140
Al 2.130 -4.166 0.683
Al 14.165 -5.035 -2.465
Al 5.150 -4.726 0.777
Al 10.070 -10.063 -1.279
Al 1.543 -7.782 -1.992
Al 10.557 -8.092 -5.233
Al 5.637 -2.754 -3.177
Al 14.388 -4.582 -6.973
Al 4.563 -8.342 -1.899
Al 10.814 -5.816 0.131
Al 1.320 -8.236 2.516
Al 11.145 -4.476 -2.558
Al 4.894 -7.001 -4.587
Al 2.617 -2.194 -3.270
Al 13.091 -10.623 -1.186
Al 4.340 -8.795 2.609
Al 1.874 -6.442 -4.680
Al 11.368 -4.022 -7.066
Al 13.834 -6.376 0.224
Al 10.108 -9.120 3.158
Al 5.599 -3.697 -7.614
Al 2.579 -3.138 -7.707
Al 13.129 -9.680 3.251
```

The value obtained for the uncorrected energy is -4.83 eV/atom. Its space group is P6_3/mcm.